Entry 1:
Tb5Ho2Al | PBE-GGA | relaxed

Lattice parameters (Å, degrees): 6.565 6.565 8.188 124.65 124.65 64.99
Positions (direct):
Tb 0.000 0.000 0.000
Tb 0.410 0.878 0.828
Tb 0.473 0.973 0.487
Tb 0.878 0.410 0.828
Tb 0.973 0.473 0.487
Ho 0.460 0.460 0.999
Ho 0.889 0.889 0.318
Al 0.400 0.400 0.339

Calculated values
The value obtained for the density of states at the Fermi level is 9.91 states/eV/cell. The formation energy comes out at -0.0559 eV/atom. For the calculated total energy, the calculation gives -36.5 eV per cell.

=====

Entry 2:
Cs3AgH | PBE-GGA | relaxed

Lattice parameters (Å, degrees): 6.115 6.115 6.115 90.00 90.00 90.00
Positions (direct):
Cs 0.000 0.000 0.500
Cs 0.000 0.500 0.000
Cs 0.500 0.000 0.000
Ag 0.500 0.500 0.500
H 0.000 0.000 0.000

Calculated values
The value obtained for the density of states at the Fermi level is 6.30 states/eV/cell. For the calculated total energy, the calculation gives -8.7 eV per cell. Its energy above the lowest structure with this stoichiometry is 0.0 kJ/mol of atoms.

=====

Entry 3:
Li5TlPb2 | PBE-GGA | relaxed

Lattice parameters (Å, degrees): 5.972 5.972 5.972 109.42 109.42 109.57
Positions (direct):
Li 0.000 0.000 0.000
Li 0.500 0.500 0.500
Li 0.500 0.999 0.000
Li 0.999 0.500 0.000
Li 0.999 0.999 0.500
Tl 0.499 0.499 0.000
Pb 0.000 0.500 0.500
Pb 0.500 0.000 0.500

Calculated values
The value obtained for the density of states at the Fermi level is 3.09 states/eV/cell. The formation energy comes out at -0.2679 eV/atom. For the calculated total energy, the calculation gives -21.5 eV per cell.

=====

Entry 4:
RbGaGe3 | PBE-GGA | relaxed

Lattice parameters (Å, degrees): 5.578 5.707 9.527 90.00 90.02 90.00
Positions (direct):
Rb 0.000 0.000 0.000
Rb 0.499 0.500 0.220
Ga 0.376 0.000 0.516
Ga 0.877 0.500 0.704
Ge 0.026 0.284 0.457
Ge 0.026 0.716 0.457
Ge 0.237 0.500 0.870
Ge 0.527 0.217 0.763
Ge 0.527 0.783 0.763
Ge 0.736 0.000 0.350

Calculated values
The value obtained for the density of states at the Fermi level is 1.63 states/eV/cell. The formation energy comes out at 0.0213 eV/atom. For the calculated total energy, the calculation gives -35.5 eV per cell. Its energy above the lowest structure with this stoichiometry is 0.0 kJ/mol of atoms.

=====

Entry 5:
KTe2Ru | PBE-GGA | relaxed

Lattice parameters (Å, degrees): 3.291 4.074 8.190 90.00 90.89 90.00
Positions (direct):
K 0.000 0.000 0.000
Te 0.488 0.500 0.704
Te 0.512 0.500 0.296
Ru 0.500 0.000 0.500

Calculated values
The value obtained for the density of states at the Fermi level is 2.90 states/eV/cell. For the calculated total energy, the calculation gives -17.2 eV per cell. The raw formation energy is -0.13 eV per atom. Its energy above the lowest structure with this stoichiometry is 23.0 kJ/mol of atoms.

=====

Entry 6:
Y6Ni2Sb | PBE-GGA | relaxed

Lattice parameters (Å, degrees): 8.478 8.478 8.478 113.54 109.14 105.82
Positions (direct):
Y 0.026 0.229 0.797
Y 0.181 0.294 0.475
Y 0.181 0.706 0.888
Y 0.327 0.015 0.688
Y 0.327 0.639 0.312
Y 0.433 0.229 0.203
Y 0.567 0.771 0.797
Y 0.673 0.361 0.688
Y 0.673 0.985 0.312
Y 0.819 0.294 0.112
Y 0.819 0.706 0.525
Y 0.974 0.771 0.203
Ni 0.123 0.623 0.500
Ni 0.351 0.000 0.351
Ni 0.649 0.000 0.649
Ni 0.877 0.377 0.500
Sb 0.000 0.000 0.000
Sb 0.500 0.500 0.000

Calculated values
The value obtained for the density of states at the Fermi level is 16.52 states/eV/cell. For the calculated total energy, the calculation gives -116.9 eV per cell. The raw formation energy is -0.44 eV per atom.

=====

Entry 7:
Er2HgTe | PBE-GGA | relaxed

Lattice parameters (Å, degrees): 4.096 4.096 8.139 104.53 104.53 59.90
Positions (direct):
Er 0.249 0.249 0.246
Er 0.751 0.751 0.754
Hg 0.500 0.500 0.000
Te 0.000 0.000 0.500

Calculated values
The value obtained for the density of states at the Fermi level is 1.83 states/eV/cell. For the calculated total energy, the calculation gives -15.9 eV per cell. The raw formation energy is -0.83 eV per atom. Its energy above the lowest structure with this stoichiometry is 0.0 kJ/mol of atoms.

=====

Entry 8:
TaInNi2 | PBE-GGA | relaxed

Lattice parameters (Å, degrees): 3.116 3.116 6.273 90.00 90.00 90.00
Positions (direct):
Ta 0.000 0.000 0.000
In 0.500 0.500 0.337
Ni 0.000 0.000 0.586
Ni 0.500 0.500 0.786

Calculated values
The value obtained for the density of states at the Fermi level is 2.17 states/eV/cell. The formation energy comes out at -0.0312 eV/atom. For the calculated total energy, the calculation gives -26.3 eV per cell.

=====

Entry 9:
KTlTc2 | PBE-GGA | relaxed

Lattice parameters (Å, degrees): 6.253 6.253 6.253 153.05 131.73 56.15
Positions (direct):
K 0.000 0.000 0.000
Tl 0.500 0.500 0.000
Tc 0.277 0.777 0.500
Tc 0.723 0.223 0.500

Calculated values
The value obtained for the density of states at the Fermi level is 4.62 states/eV/cell. The formation energy comes out at 1.2348 eV/atom. For the calculated total energy, the calculation gives -19.3 eV per cell. Its energy above the lowest structure with this stoichiometry is 72.3 kJ/mol of atoms.

=====

Entry 10:
SrRuBr | PBE-GGA | relaxed

Lattice parameters (Å, degrees): 4.723 4.723 4.723 60.00 60.00 60.00
Positions (direct):
Sr 0.000 0.000 0.000
Ru 0.250 0.250 0.250
Br 0.500 0.500 0.500

Calculated values
The value obtained for the density of states at the Fermi level is 3.87 states/eV/cell. For the calculated total energy, the calculation gives -11.6 eV per cell. The raw formation energy is 0.36 eV per atom. Its energy above the lowest structure with this stoichiometry is 36.2 kJ/mol of atoms.

=====

Entry 11:
Er7Ga2Co2 | PBE-GGA | relaxed

Lattice parameters (Å, degrees): 6.562 6.562 6.755 90.00 90.00 109.85
Positions (direct):
Er 0.000 0.000 0.000
Er 0.000 0.500 0.252
Er 0.000 0.500 0.748
Er 0.500 0.000 0.252
Er 0.500 0.000 0.748
Er 0.500 0.500 0.244
Er 0.500 0.500 0.756
Ga 0.168 0.168 0.500
Ga 0.832 0.832 0.500
Co 0.295 0.705 0.000
Co 0.705 0.295 0.000

Calculated values
The value obtained for the density of states at the Fermi level is 10.53 states/eV/cell. The formation energy comes out at -0.2218 eV/atom. For the calculated total energy, the calculation gives -54.6 eV per cell.

=====

Entry 12:
Ti2TcB2 | PBE-GGA | relaxed

Lattice parameters (Å, degrees): 5.942 5.942 3.169 90.00 90.00 90.00
Positions (direct):
Ti 0.181 0.319 0.000
Ti 0.319 0.819 0.000
Ti 0.681 0.181 0.000
Ti 0.819 0.681 0.000
Tc 0.000 0.000 0.500
Tc 0.500 0.500 0.500
B 0.107 0.607 0.500
B 0.393 0.107 0.500
B 0.607 0.893 0.500
B 0.893 0.393 0.500

Calculated values
The value obtained for the density of states at the Fermi level is 2.74 states/eV/cell. The formation energy comes out at -0.8416 eV/atom. For the calculated total energy, the calculation gives -87.4 eV per cell.

=====

What is the calculated total energy in the first record?
-36.5 eV per cell